Record 1
Here is a geometry-optimized AcSmCu4 structure from the Alexandria database. Energies are from GGA-PBE. Values from VASP.

Summary:
The calculated formation energy comes out at -0.19 eV per atom. The value obtained for the density is 8.205 g cm⁻³. The value obtained for the magnetization is 0.00 μB per formula unit.

Cell and atoms, written as Quantum ESPRESSO input:
```
&SYSTEM
  ibrav = 0, nat = 6, ntyp = 3
/
ATOMIC_SPECIES
Ac 227.00 Ac.upf
Sm 150.36 Sm.upf
Cu 63.55 Cu.upf
ATOMIC_POSITIONS crystal
Ac 0.000 0.000 0.000
Sm 0.250 0.750 0.500
Cu 0.415 0.415 0.000
Cu 0.585 0.585 0.000
Cu 0.672 0.172 0.500
Cu 0.828 0.328 0.500
CELL_PARAMETERS angstrom
-2.031 2.031 7.750
2.031 -2.031 7.750
2.031 2.031 -7.750
```

Record 2
Here is a geometry-optimized AcSm2Cu structure from the Alexandria database. Energies are from GGA-PBE. Values from VASP.

Summary:
The calculated formation energy comes out at -0.04 eV per atom. The value obtained for the density is 7.908 g cm⁻³. The value obtained for the magnetization is 0.00 μB per formula unit.

Cell and atoms, written as Quantum ESPRESSO input:
```
&SYSTEM
  ibrav = 0, nat = 16, ntyp = 3
/
ATOMIC_SPECIES
Ac 227.00 Ac.upf
Sm 150.36 Sm.upf
Cu 63.55 Cu.upf
ATOMIC_POSITIONS crystal
Ac 0.022 0.250 0.139
Ac 0.478 0.750 0.639
Ac 0.522 0.250 0.361
Ac 0.978 0.750 0.861
Sm 0.182 0.057 0.673
Sm 0.182 0.443 0.673
Sm 0.318 0.557 0.173
Sm 0.318 0.943 0.173
Sm 0.682 0.057 0.827
Sm 0.682 0.443 0.827
Sm 0.818 0.557 0.327
Sm 0.818 0.943 0.327
Cu 0.104 0.750 0.406
Cu 0.396 0.250 0.906
Cu 0.604 0.750 0.094
Cu 0.896 0.250 0.594
CELL_PARAMETERS angstrom
7.171 0.000 0.000
0.000 10.448 0.000
0.000 0.000 6.628
```

Record 3
Here is a geometry-optimized Ac2SmCu structure from the Alexandria database. Energies are from GGA-PBE. Values from VASP.

Summary:
The calculated formation energy comes out at -0.01 eV per atom. The value obtained for the density is 8.255 g cm⁻³. The value obtained for the magnetization is 0.00 μB per formula unit.

Cell and atoms, written as Quantum ESPRESSO input:
```
&SYSTEM
  ibrav = 0, nat = 4, ntyp = 3
/
ATOMIC_SPECIES
Ac 227.00 Ac.upf
Sm 150.36 Sm.upf
Cu 63.55 Cu.upf
ATOMIC_POSITIONS crystal
Ac 0.000 0.000 0.204
Ac 0.000 0.000 0.796
Sm 0.500 0.500 0.500
Cu 0.500 0.500 0.000
CELL_PARAMETERS angstrom
3.833 0.000 0.000
0.000 3.833 0.000
0.000 0.000 9.145
```

Record 4
Here is a geometry-optimized Ac2SmCu9 structure from the Alexandria database. Energies are from GGA-PBE. Values from VASP.

Summary:
The calculated formation energy comes out at -0.08 eV per atom. The value obtained for the density is 9.116 g cm⁻³. The value obtained for the magnetization is 0.00 μB per formula unit.

Cell and atoms, written as Quantum ESPRESSO input:
```
&SYSTEM
  ibrav = 0, nat = 12, ntyp = 3
/
ATOMIC_SPECIES
Ac 227.00 Ac.upf
Sm 150.36 Sm.upf
Cu 63.55 Cu.upf
ATOMIC_POSITIONS crystal
Ac 0.137 0.137 0.137
Ac 0.863 0.863 0.863
Sm 0.000 0.000 0.000
Cu 0.082 0.573 0.573
Cu 0.332 0.332 0.332
Cu 0.427 0.427 0.918
Cu 0.427 0.918 0.427
Cu 0.500 0.500 0.500
Cu 0.573 0.082 0.573
Cu 0.573 0.573 0.082
Cu 0.668 0.668 0.668
Cu 0.918 0.427 0.427
CELL_PARAMETERS angstrom
2.653 1.532 8.786
-2.653 1.532 8.786
0.000 -3.064 8.786
```

Record 5
Here is a geometry-optimized AcSm2Cu6 structure from the Alexandria database. Energies are from GGA-PBE. Values from VASP.

Summary:
The calculated formation energy comes out at -0.21 eV per atom. The value obtained for the density is 8.188 g cm⁻³. The value obtained for the magnetization is 0.00 μB per formula unit.

Cell and atoms, written as Quantum ESPRESSO input:
```
&SYSTEM
  ibrav = 0, nat = 9, ntyp = 3
/
ATOMIC_SPECIES
Ac 227.00 Ac.upf
Sm 150.36 Sm.upf
Cu 63.55 Cu.upf
ATOMIC_POSITIONS crystal
Ac 0.000 0.000 0.000
Sm 0.333 0.667 0.000
Sm 0.667 0.333 0.000
Cu 0.000 0.337 0.500
Cu 0.000 0.663 0.500
Cu 0.337 0.000 0.500
Cu 0.337 0.337 0.500
Cu 0.663 0.000 0.500
Cu 0.663 0.663 0.500
CELL_PARAMETERS angstrom
7.460 0.000 0.000
-3.730 6.460 0.000
0.000 0.000 3.825
```

Record 6
Here is a geometry-optimized Ac2SmCu structure from the Alexandria database. Energies are from GGA-PBE. Values from VASP.

Summary:
The calculated formation energy comes out at 0.06 eV per atom. The value obtained for the density is 7.942 g cm⁻³. The value obtained for the magnetization is 0.00 μB per formula unit.

Cell and atoms, written as Quantum ESPRESSO input:
```
&SYSTEM
  ibrav = 0, nat = 4, ntyp = 3
/
ATOMIC_SPECIES
Ac 227.00 Ac.upf
Sm 150.36 Sm.upf
Cu 63.55 Cu.upf
ATOMIC_POSITIONS crystal
Ac 0.235 0.235 0.235
Ac 0.765 0.765 0.765
Sm 0.000 0.000 0.000
Cu 0.500 0.500 0.500
CELL_PARAMETERS angstrom
1.973 1.139 10.353
-1.973 1.139 10.353
0.000 -2.279 10.353
```

Record 7
Here is a geometry-optimized AcSmCu10 structure from the Alexandria database. Energies are from GGA-PBE. Values from VASP.

Summary:
The calculated formation energy comes out at -0.15 eV per atom. The value obtained for the density is 8.746 g cm⁻³. The value obtained for the magnetization is 0.00 μB per formula unit.

Cell and atoms, written as Quantum ESPRESSO input:
```
&SYSTEM
  ibrav = 0, nat = 12, ntyp = 3
/
ATOMIC_SPECIES
Ac 227.00 Ac.upf
Sm 150.36 Sm.upf
Cu 63.55 Cu.upf
ATOMIC_POSITIONS crystal
Ac 0.000 0.000 0.000
Sm 0.000 0.500 0.500
Cu 0.000 0.000 0.341
Cu 0.000 0.000 0.659
Cu 0.000 0.500 0.175
Cu 0.000 0.500 0.825
Cu 0.500 0.000 0.500
Cu 0.500 0.255 0.258
Cu 0.500 0.255 0.742
Cu 0.500 0.500 0.000
Cu 0.500 0.745 0.258
Cu 0.500 0.745 0.742
CELL_PARAMETERS angstrom
4.114 0.000 0.000
0.000 5.218 0.000
0.000 0.000 8.956
```

Record 8
Here is a geometry-optimized AcSm2Cu structure from the Alexandria database. Energies are from GGA-PBE. Values from VASP.

Summary:
The calculated formation energy comes out at 0.26 eV per atom. The value obtained for the density is 8.161 g cm⁻³. The value obtained for the magnetization is 0.00 μB per formula unit.

Cell and atoms, written as Quantum ESPRESSO input:
```
&SYSTEM
  ibrav = 0, nat = 4, ntyp = 3
/
ATOMIC_SPECIES
Ac 227.00 Ac.upf
Sm 150.36 Sm.upf
Cu 63.55 Cu.upf
ATOMIC_POSITIONS crystal
Ac 0.000 0.000 0.000
Sm 0.000 0.500 0.500
Sm 0.500 0.000 0.500
Cu 0.500 0.500 0.000
CELL_PARAMETERS angstrom
5.644 0.000 0.000
0.000 5.644 0.000
0.000 0.000 3.777
```

Record 9
Here is a geometry-optimized Ac2SmCu3Sn4 structure from the Alexandria database. Energies are from GGA-PBE. Values from VASP.

Summary:
The calculated formation energy comes out at -0.46 eV per atom. The value obtained for the density is 8.164 g cm⁻³. The value obtained for the magnetization is 0.00 μB per formula unit.

Cell and atoms, written as Quantum ESPRESSO input:
```
&SYSTEM
  ibrav = 0, nat = 10, ntyp = 4
/
ATOMIC_SPECIES
Ac 227.00 Ac.upf
Sm 150.36 Sm.upf
Cu 63.55 Cu.upf
Sn 118.71 Sn.upf
ATOMIC_POSITIONS crystal
Ac 0.000 0.500 0.228
Ac 0.500 0.000 0.772
Sm 0.000 0.000 0.500
Cu 0.000 0.500 0.881
Cu 0.500 0.000 0.119
Cu 0.500 0.500 0.500
Sn 0.000 0.000 0.000
Sn 0.000 0.500 0.660
Sn 0.500 0.000 0.340
Sn 0.500 0.500 0.000
CELL_PARAMETERS angstrom
4.662 0.000 0.000
0.000 4.662 0.000
0.000 0.000 11.881
```

Record 10
Here is a geometry-optimized AcSm2Cu2Sn2 structure from the Alexandria database. Energies are from GGA-PBE. Values from VASP.

Summary:
The calculated formation energy comes out at -0.42 eV per atom. The value obtained for the density is 8.025 g cm⁻³. The value obtained for the magnetization is 0.00 μB per formula unit.

Cell and atoms, written as Quantum ESPRESSO input:
```
&SYSTEM
  ibrav = 0, nat = 7, ntyp = 4
/
ATOMIC_SPECIES
Ac 227.00 Ac.upf
Sm 150.36 Sm.upf
Cu 63.55 Cu.upf
Sn 118.71 Sn.upf
ATOMIC_POSITIONS crystal
Ac 0.000 0.000 0.000
Sm 0.132 0.132 0.132
Sm 0.868 0.868 0.868
Cu 0.420 0.420 0.420
Cu 0.580 0.580 0.580
Sn 0.258 0.258 0.258
Sn 0.742 0.742 0.742
CELL_PARAMETERS angstrom
2.333 1.347 9.791
-2.333 1.347 9.791
0.000 -2.694 9.791
```

Record 11
Here is a geometry-optimized Ac2SmCuTe5 structure from the Alexandria database. Energies are from GGA-PBE. Values from VASP.

Summary:
The calculation puts the uncorrected formation energy at -1.31 eV per atom. The value obtained for the density is 7.342 g cm⁻³. The value obtained for the magnetization is 0.00 μB per formula unit.

Cell and atoms, written as Quantum ESPRESSO input:
```
&SYSTEM
  ibrav = 0, nat = 18, ntyp = 4
/
ATOMIC_SPECIES
Ac 227.00 Ac.upf
Sm 150.36 Sm.upf
Cu 63.55 Cu.upf
Te 127.60 Te.upf
ATOMIC_POSITIONS crystal
Ac 0.110 0.890 0.500
Ac 0.123 0.877 0.124
Ac 0.877 0.123 0.624
Ac 0.890 0.110 0.000
Sm 0.191 0.809 0.824
Sm 0.809 0.191 0.324
Cu 0.429 0.571 0.268
Cu 0.571 0.429 0.768
Te 0.042 0.958 0.869
Te 0.288 0.712 0.485
Te 0.311 0.689 0.161
Te 0.354 0.646 0.815
Te 0.499 0.501 0.098
Te 0.501 0.499 0.598
Te 0.646 0.354 0.315
Te 0.689 0.311 0.661
Te 0.712 0.288 0.985
Te 0.958 0.042 0.369
CELL_PARAMETERS angstrom
2.246 -9.824 0.000
2.246 9.824 0.000
0.000 0.000 13.385
```

Copy entry 9 word for word.
Here is a geometry-optimized Ac2SmCu3Sn4 structure from the Alexandria database. Energies are from GGA-PBE. Values from VASP.

Summary:
The calculated formation energy comes out at -0.46 eV per atom. The value obtained for the density is 8.164 g cm⁻³. The value obtained for the magnetization is 0.00 μB per formula unit.

Cell and atoms, written as Quantum ESPRESSO input:
```
&SYSTEM
  ibrav = 0, nat = 10, ntyp = 4
/
ATOMIC_SPECIES
Ac 227.00 Ac.upf
Sm 150.36 Sm.upf
Cu 63.55 Cu.upf
Sn 118.71 Sn.upf
ATOMIC_POSITIONS crystal
Ac 0.000 0.500 0.228
Ac 0.500 0.000 0.772
Sm 0.000 0.000 0.500
Cu 0.000 0.500 0.881
Cu 0.500 0.000 0.119
Cu 0.500 0.500 0.500
Sn 0.000 0.000 0.000
Sn 0.000 0.500 0.660
Sn 0.500 0.000 0.340
Sn 0.500 0.500 0.000
CELL_PARAMETERS angstrom
4.662 0.000 0.000
0.000 4.662 0.000
0.000 0.000 11.881
```

Please write out number 7 again, unchanged.
Here is a geometry-optimized AcSmCu10 structure from the Alexandria database. Energies are from GGA-PBE. Values from VASP.

Summary:
The calculated formation energy comes out at -0.15 eV per atom. The value obtained for the density is 8.746 g cm⁻³. The value obtained for the magnetization is 0.00 μB per formula unit.

Cell and atoms, written as Quantum ESPRESSO input:
```
&SYSTEM
  ibrav = 0, nat = 12, ntyp = 3
/
ATOMIC_SPECIES
Ac 227.00 Ac.upf
Sm 150.36 Sm.upf
Cu 63.55 Cu.upf
ATOMIC_POSITIONS crystal
Ac 0.000 0.000 0.000
Sm 0.000 0.500 0.500
Cu 0.000 0.000 0.341
Cu 0.000 0.000 0.659
Cu 0.000 0.500 0.175
Cu 0.000 0.500 0.825
Cu 0.500 0.000 0.500
Cu 0.500 0.255 0.258
Cu 0.500 0.255 0.742
Cu 0.500 0.500 0.000
Cu 0.500 0.745 0.258
Cu 0.500 0.745 0.742
CELL_PARAMETERS angstrom
4.114 0.000 0.000
0.000 5.218 0.000
0.000 0.000 8.956
```

What is the magnetization in the tenth record? 0.00 μB per formula unit